Computed, not measured: a relaxed FeP2AuO crystal at the GGA+U level of DFT.

Cell lengths 4.7081, 4.7081, 3.4706 Å; angles 90.00, 90.00, 90.00 degrees
Closest atoms and distances in Å follow each position.
Element x y z (fractional)
O: 0.0000 0.0000 0.5000  2 Fe 1.74
P: 0.0000 0.5000 0.0000  2 Fe 2.35
P: 0.5000 0.0000 0.0000  2 Fe 2.35
Fe: 0.0000 0.0000 0.0000  2 O 1.74
Au: 0.5000 0.5000 0.5000  8 P 2.92

## Properties
Density of states at the Fermi level: 2.359 states/eV per cell
Excess energy over the best structure of this formula in the dataset: 0.000 eV/atom
VASP energy: -22.75 eV/cell
Symmetry: P4/mmm